Record 1
## CrPb2O2 (PBE with a Hubbard U)

Data for a relaxed CrPb2O2 crystal.

Computed properties:
Calculated total energy   -5.63 eV/atom
Density   9193 kg/m³

a b c (Å): 6.167 6.167 4.734
angles (deg): 90.00 90.00 90.00
Element x y z (fractional)
Pb: 0.180 0.680 0.500
Pb: 0.680 0.820 0.500
Pb: 0.820 0.320 0.500
Pb: 0.320 0.180 0.500
Cr: 0.000 0.000 0.000
Cr: 0.500 0.500 0.000
O: 0.254 0.754 0.000
O: 0.754 0.746 0.000
O: 0.746 0.246 0.000
O: 0.246 0.254 0.000



Record 2
## CrPb3O (PBE with a Hubbard U)

Data for a relaxed CrPb3O crystal.

Computed properties:
Calculated total energy   -4.28 eV/atom
Density   9130 kg/m³

a b c (Å): 5.006 5.006 5.006
angles (deg): 90.00 90.00 90.00
Element x y z (fractional)
Pb: 0.000 0.500 0.000
Pb: 0.000 0.000 0.500
Pb: 0.500 0.000 0.000
Cr: 0.500 0.500 0.500
O: 0.000 0.000 0.000